(1)
ZnGaMoIr after structural relaxation, computed with PBE-GGA.

Lattice parameters (Å, degrees): 4.3421 4.3421 12.3521 90.00 90.00 120.00
Fractional coordinates of all 12 atoms:
Ir: 0.3333 0.6667 0.7855
Ir: 0.0000 0.0000 0.1188
Ir: 0.6667 0.3333 0.4522
Zn: 0.3333 0.6667 0.9947
Zn: 0.6667 0.3333 0.6614
Zn: 0.0000 0.0000 0.3280
Mo: 0.0000 0.0000 0.7655
Mo: 0.6667 0.3333 0.0988
Mo: 0.3333 0.6667 0.4321
Ga: 0.0000 0.0000 0.5540
Ga: 0.6667 0.3333 0.8873
Ga: 0.3333 0.6667 0.2206

Computed properties:
calculated total energy = -71.642 eV for the cell shown
polymorph energy (0 for the lowest one) = 152.8 meV per atom
Fermi-level density of states = 0.3259 states/eV per atom
energy of formation from the pure elements = 28 meV/atom

---

(2)
CaGa2Sn2 after structural relaxation, computed with PBE-GGA.

Lattice parameters (Å, degrees): 4.5399 4.8108 11.1138 90.00 101.79 90.00
Fractional coordinates of all 10 atoms:
Ca: 0.3639 0.2500 0.7277
Ca: 0.6361 0.7500 0.2723
Sn: 0.2531 0.7500 0.5062
Sn: 0.1277 0.2500 0.2554
Sn: 0.7469 0.2500 0.4938
Sn: 0.8723 0.7500 0.7446
Ga: 0.5318 0.2500 0.0636
Ga: 0.4682 0.7500 0.9364
Ga: 0.9614 0.2500 0.9227
Ga: 0.0386 0.7500 0.0773

Computed properties:
calculated total energy = -34.849 eV for the cell shown
polymorph energy (0 for the lowest one) = 0.0 meV per atom
Fermi-level density of states = 0.4703 states/eV per atom
energy of formation from the pure elements = -273 meV/atom